Below is a geometry-optimized NaMnSn2Br8 structure, with properties calculated at the PBE level.

Calculated volume, Å³/cell: 388.9
Electronic total energy, eV for the cell shown: -41.84
Formation energy from raw total energies, eV per atom: -0.8299

a = 6.8909 Å, b = 6.6261 Å, c = 8.5240 Å
α = 90.00°, β = 90.00°, γ = 87.82°
Site moments in Bohr magnetons follow the coordinates.
Atoms (fractional coordinates):
Br  0.3025  0.2436  0.0000  -0.03
Sn  0.5000  0.5000  0.7574  -0.05
Br  0.8380  0.2158  0.2208  -0.02
Br  0.3366  0.2794  0.5000  -0.03
Br  0.8379  0.2158  0.7793  -0.02
Br  0.1621  0.7842  0.2207  -0.02
Br  0.6975  0.7564  0.0000  -0.03
Na  0.0000  0.0000  0.5000  0.00
Sn  0.5000  0.5000  0.2426  -0.05
Br  0.1620  0.7842  0.7792  -0.02
Mn  0.0000  0.0000  0.0000  4.02
Br  0.6634  0.7206  0.5000  -0.03



Below is a geometry-optimized Na2SrMnBr8 structure, with properties calculated at the PBE level.

Calculated volume, Å³/cell: 375.6
Electronic total energy, eV for the cell shown: -41.58
Formation energy from raw total energies, eV per atom: -1.2256

a = 6.2810 Å, b = 7.7400 Å, c = 8.7025 Å
α = 89.85°, β = 90.09°, γ = 117.40°
Site moments in Bohr magnetons follow the coordinates.
Atoms (fractional coordinates):
Br  0.9574  0.2108  0.7980  -0.04
Na  0.4977  0.5010  0.2518  0.00
Br  0.4319  0.2105  0.0011  -0.01
Sr  0.0000  0.0000  0.5000  0.00
Na  0.5023  0.4990  0.7482  0.00
Br  0.5681  0.7895  0.9989  -0.01
Br  0.9552  0.2097  0.2010  -0.04
Br  0.4643  0.7346  0.5009  -0.01
Br  0.0426  0.7892  0.2020  -0.04
Br  0.0448  0.7903  0.7990  -0.04
Mn  0.0000  0.0000  0.0000  3.06
Br  0.5357  0.2654  0.4991  -0.01



Below is a geometry-optimized NaSrMnBr5 structure, with properties calculated at the PBE level.

Calculated volume, Å³/cell: 589.5
Electronic total energy, eV for the cell shown: -64.19
Formation energy from raw total energies, eV per atom: -1.4450

a = 7.8302 Å, b = 7.8302 Å, c = 10.8378 Å
α = 104.94°, β = 104.94°, γ = 102.95°
Site moments in Bohr magnetons follow the coordinates.
Atoms (fractional coordinates):
Sr  0.0000  0.0000  0.5000  0.01
Br  0.3816  0.2970  0.0679  0.05
Br  0.3525  0.9323  0.6551  0.05
Br  0.2970  0.3816  0.5679  0.05
Sr  0.0000  0.0000  0.0000  0.01
Br  0.6475  0.0677  0.3449  0.05
Br  0.7030  0.6184  0.4321  0.05
Br  0.8889  0.1111  0.7500  0.00
Mn  0.6724  0.3276  0.2500  4.34
Br  0.1111  0.8889  0.2500  0.00
Na  0.6514  0.3486  0.7500  0.00
Br  0.9323  0.3525  0.1551  0.05
Br  0.0677  0.6475  0.8449  0.05
Mn  0.3276  0.6724  0.7500  4.34
Br  0.6184  0.7030  0.9321  0.05
Na  0.3486  0.6514  0.2500  0.00